Density functional theory data (PBE) for crystalline TaTcAg2 at its relaxed geometry. Values from VASP.

Values from the calculation:
Formation energy from the elements (kJ/mol of atoms): 17.2
Distance to the lowest polymorph of the same formula (eV per atom): 0.0000
Space group: No. 35

Quantum ESPRESSO input file:
```
&SYSTEM
  ibrav = 0, nat = 4, ntyp = 3
/
ATOMIC_SPECIES
Ta 180.95 Ta.upf
Tc 98.00 Tc.upf
Ag 107.87 Ag.upf
ATOMIC_POSITIONS crystal
Ta 0.000 0.000 0.000
Tc 0.500 0.500 0.781
Ag 0.000 0.000 0.522
Ag 0.500 0.500 0.263
CELL_PARAMETERS angstrom
1.613 -2.333 0.000
1.613 2.333 0.000
0.000 0.000 9.219
```